# DyYEr

DyYEr after structural relaxation (PBE, Alexandria).

The crystal system is orthorhombic. The total DFT energy (no corrections) comes out at -13.5 eV/f.u. The value obtained for the offset from the most stable computed form is 200 kJ/mol of formula units. The formation energy comes out at 0.7127 eV/atom.

Structure (CIF):
```
data_DyYEr
_chemical_formula_sum 'Dy4 Y4 Er4'
_cell_length_a 11.483
_cell_length_b 11.534
_cell_length_c 3.412
_cell_angle_alpha 90.00
_cell_angle_beta 90.00
_cell_angle_gamma 90.00
_symmetry_space_group_name_H-M 'C m m m'
_symmetry_Int_Tables_number 65
_symmetry_space_group_name_Hall '-C 2 2'
loop_
_atom_site_label
_atom_site_fract_x
_atom_site_fract_y
_atom_site_fract_z
Dy1 0.239 0.000 0.000
Y1 0.000 0.261 0.500
Er1 0.000 0.000 0.500
Er2 0.000 0.500 0.000
```